(1)
This record from Alexandria via LeMat-Bulk describes crystalline MgCd2Rh2 at its relaxed geometry. The functional is GGA-PBE.

Properties
relative energy among the computed polymorphs: 0.66 eV/f.u.

Unit cell a=7.540 b=7.540 c=3.213 alpha=90.00 beta=90.00 gamma=90.00
Space group P4/mbm (No. 127)
Inequivalent atoms, fractional coordinates:
Mg 0.000 0.000 0.000
Cd 0.136 0.364 0.000
Rh 0.162 0.662 0.500



(2)
This record from Alexandria via LeMat-Bulk describes crystalline Mg2Cd3Rh3 at its relaxed geometry. The functional is GGA-PBE.

Properties
total DFT energy (no corrections): -30.18 eV per cell

Unit cell a=4.243 b=4.252 c=7.576 alpha=90.00 beta=90.00 gamma=90.00
Space group Pmmm (No. 47)
Inequivalent atoms, fractional coordinates:
Mg 0.000 0.000 0.223
Cd 0.500 0.000 0.500
Cd 0.500 0.500 0.238
Rh 0.000 0.500 0.000
Rh 0.000 0.500 0.500
Rh 0.500 0.000 0.000



(3)
This record from Alexandria via LeMat-Bulk describes crystalline Mg2CdRh at its relaxed geometry. The functional is GGA-PBE.

Properties
total DFT energy (no corrections): -22.36 eV per cell

Unit cell a=3.002 b=4.511 c=13.534 alpha=90.00 beta=90.00 gamma=90.00
Space group Immm (No. 71)
Inequivalent atoms, fractional coordinates:
Mg 0.000 0.000 0.184
Cd 0.000 0.000 0.500
Rh 0.000 0.000 0.000



(4)
This record from Alexandria via LeMat-Bulk describes crystalline Mg5Cd6Rh at its relaxed geometry. The functional is GGA-PBE.

Properties
total DFT energy (no corrections): -44.67 eV per cell

Unit cell a=9.825 b=12.703 c=4.338 alpha=90.00 beta=115.63 gamma=90.00
Space group C2/m (No. 12)
Inequivalent atoms, fractional coordinates:
Mg 0.000 0.000 0.000
Mg 0.000 0.173 0.500
Mg 0.000 0.358 0.000
Cd 0.244 0.336 0.743
Cd 0.247 0.000 0.746
Rh 0.000 0.500 0.500



(5)
This record from Alexandria via LeMat-Bulk describes crystalline Mg3Cd2Rh3 at its relaxed geometry. The functional is GGA-PBE.

Properties
total DFT energy (no corrections): -62.60 eV per cell

Unit cell a=3.282 b=4.470 c=18.222 alpha=90.00 beta=90.00 gamma=90.00
Space group Immm (No. 71)
Inequivalent atoms, fractional coordinates:
Mg 0.000 0.000 0.000
Mg 0.000 0.500 0.114
Cd 0.000 0.000 0.250
Rh 0.000 0.000 0.500
Rh 0.000 0.500 0.376



(6)
This record from Alexandria via LeMat-Bulk describes crystalline MgCd2Rh at its relaxed geometry. The functional is GGA-PBE.

Properties
total DFT energy (no corrections): -33.15 eV per cell

Unit cell a=3.0252 b=3.0252 c=29.3205 alpha=90.00 beta=90.00 gamma=120.00
Space group R3m (No. 160, hexagonal axes)
Inequivalent atoms, fractional coordinates:
Mg 0.0000 0.0000 0.0000
Cd 0.0000 0.0000 0.2394
Cd 0.0000 0.0000 0.4763
Rh 0.0000 0.0000 0.7335



(7)
This record from Alexandria via LeMat-Bulk describes crystalline Mg2Cd7Rh2 at its relaxed geometry. The functional is GGA-PBE.

Properties
total DFT energy (no corrections): -51.54 eV per cell

Unit cell a=12.684 b=8.735 c=4.343 alpha=90.00 beta=109.99 gamma=90.00
Space group C2/m (No. 12)
Inequivalent atoms, fractional coordinates:
Mg 0.120 0.000 0.121
Cd 0.000 0.500 0.500
Cd 0.147 0.227 0.647
Cd 0.174 0.500 0.174
Rh 0.000 0.276 0.000



(8)
This record from Alexandria via LeMat-Bulk describes crystalline Mg6Cd3Rh at its relaxed geometry. The functional is GGA-PBE.

Properties
relative energy among the computed polymorphs: 0.00 eV/f.u.

Unit cell a=8.790 b=4.618 c=10.093 alpha=90.00 beta=100.35 gamma=90.00
Space group P2_1/m (No. 11)
Inequivalent atoms, fractional coordinates:
Mg 0.051 0.250 0.403
Mg 0.167 0.750 0.191
Mg 0.295 0.250 0.007
Mg 0.361 0.250 0.299
Mg 0.374 0.750 0.838
Mg 0.442 0.250 0.615
Cd 0.045 0.750 0.901
Cd 0.150 0.250 0.716
Cd 0.259 0.750 0.500
Rh 0.448 0.750 0.119



(9)
This record from Alexandria via LeMat-Bulk describes crystalline MgCd2Rh at its relaxed geometry. The functional is GGA-PBE.

Properties
total DFT energy (no corrections): -22.33 eV per cell

Unit cell a=5.644 b=9.562 c=3.017 alpha=90.00 beta=115.24 gamma=90.00
Space group C2/m (No. 12)
Inequivalent atoms, fractional coordinates:
Mg 0.000 0.000 0.000
Cd 0.250 0.250 0.500
Rh 0.000 0.500 0.000



(10)
This record from Alexandria via LeMat-Bulk describes crystalline Mg7Cd2Rh2 at its relaxed geometry. The functional is GGA-PBE.

Properties
total DFT energy (no corrections): -57.15 eV per cell

Unit cell a=9.577 b=8.187 c=6.421 alpha=90.00 beta=90.10 gamma=90.00
Space group C2/m (No. 12)
Inequivalent atoms, fractional coordinates:
Mg 0.000 0.000 0.000
Mg 0.000 0.500 0.239
Mg 0.250 0.250 0.242
Cd 0.000 0.175 0.500
Rh 0.224 0.500 0.000



(11)
This record from Alexandria via LeMat-Bulk describes crystalline Mg2CdRh at its relaxed geometry. The functional is GGA-PBE.

Properties
total DFT energy (no corrections): -12.64 eV per cell

Unit cell a=4.381 b=4.381 c=3.660 alpha=90.00 beta=90.00 gamma=90.00
Space group P4/mmm (No. 123)
Inequivalent atoms, fractional coordinates:
Mg 0.000 0.500 0.000
Cd 0.000 0.000 0.500
Rh 0.500 0.500 0.500



(12)
This record from Alexandria via LeMat-Bulk describes crystalline Mg2CdRh at its relaxed geometry. The functional is GGA-PBE.

Properties
total DFT energy (no corrections): -12.91 eV per cell

Unit cell a=3.214 b=3.214 c=7.003 alpha=90.00 beta=90.00 gamma=90.00
Space group P4/mmm (No. 123)
Inequivalent atoms, fractional coordinates:
Mg 0.000 0.000 0.208
Cd 0.500 0.500 0.500
Rh 0.500 0.500 0.000



Number 1: D(E_F) 4.85 states/eV per cell. Number 2: D(E_F) 3.53 states/eV per cell. Number 3: D(E_F) 3.73 states/eV per cell. Number 4: D(E_F) 8.64 states/eV per cell. Number 5: D(E_F) 7.03 states/eV per cell. Number 6: D(E_F) 9.27 states/eV per cell. Number 7: D(E_F) 9.55 states/eV per cell. Number 8: D(E_F) 5.07 states/eV per cell. Number 9: D(E_F) 2.98 states/eV per cell. Number 10: D(E_F) 8.12 states/eV per cell. Number 11: D(E_F) 1.20 states/eV per cell. Number 12: D(E_F) 1.14 states/eV per cell.